# KTl3Zn | the Alexandria database | PBE | optimized geometry
data_KTl3Zn
_cell_length_a 5.5376
_cell_length_b 5.5376
_cell_length_c 5.5376
_cell_angle_alpha 90.00
_cell_angle_beta 90.00
_cell_angle_gamma 90.00
_symmetry_space_group_name_H-M 'P m -3 m'
_symmetry_Int_Tables_number 221
_symmetry_space_group_name_Hall '-P 4 2 3'
loop_
_atom_site_label
_atom_site_type_symbol
_atom_site_fract_x
_atom_site_fract_y
_atom_site_fract_z
K1 K 0.0000 0.0000 0.0000
Tl1 Tl 0.0000 0.5000 0.5000
Zn1 Zn 0.5000 0.5000 0.5000
# - Size of the total moment: 0.0 μB per cell
# - Calculated volume: 170 Å³/cell
# - Final energy: -9.08 eV/cell
# - DOS(E_F): 3.64 states/eV/cell
# - Crystal system: cubic